# 1
This record from the Alexandria database describes crystalline AgSn2Pb at its relaxed geometry. The functional is PBE.

The formation energy is 12 kJ/mol of atoms.

The space group is I-42d (No. 122) and the conventional cell measures 4.424, 4.424 and 22.105 Å, with angles of 90.00, 90.00 and 90.00 degrees. The asymmetric unit holds Ag at (0.000, 0.000, 0.000), Sn at (0.236, 0.250, 0.125) and Pb at (0.000, 0.000, 0.500).



# 2
This record from the Alexandria database describes crystalline AgSnPb2 at its relaxed geometry. The functional is PBE.

The formation energy is 12 kJ/mol of atoms.

The space group is R3m (No. 160, hexagonal axes) and the conventional cell measures 4.9547, 4.9547 and 16.7031 Å, with angles of 90.00, 90.00 and 120.00 degrees. The asymmetric unit holds Ag at (0.0000, 0.0000, 0.0000), Sn at (0.0000, 0.0000, 0.8233), Pb at (0.0000, 0.0000, 0.3972) and Pb at (0.0000, 0.0000, 0.5977).



# 3
This record from the Alexandria database describes crystalline AgSnPb at its relaxed geometry. The functional is PBE.

The formation energy is 5 kJ/mol of atoms.

The space group is I4mm (No. 107) and the conventional cell measures 3.409, 3.409 and 13.113 Å, with angles of 90.00, 90.00 and 90.00 degrees. The asymmetric unit holds Ag at (0.000, 0.000, 0.000), Sn at (0.000, 0.000, 0.640) and Pb at (0.000, 0.000, 0.341).



# 4
This record from the Alexandria database describes crystalline AgSn2Pb at its relaxed geometry. The functional is PBE.

The formation energy is 8 kJ/mol of atoms.

The space group is P4/mmm (No. 123) and the conventional cell measures 4.708, 4.708 and 4.727 Å, with angles of 90.00, 90.00 and 90.00 degrees. The asymmetric unit holds Ag at (0.000, 0.000, 0.000), Sn at (0.000, 0.500, 0.500) and Pb at (0.500, 0.500, 0.000).